The following is a DFT calculation (GGA-PBE) of an optimized crystal structure of Tc2Sb.

Structure (POSCAR):
```
Tc2Sb
1.0
4.920 -1.548 0.000
4.920 1.548 0.000
-0.926 0.000 6.660
Tc Sb
4 2
direct
0.000 0.000 0.000
0.109 0.109 0.620
0.379 0.379 0.275
0.722 0.722 0.931
0.391 0.391 0.690
0.653 0.653 0.301
```

Computed properties:
Crystal system = monoclinic
Uncorrected formation energy = 0.6 eV per formula unit
N(E_F) = 3.979 states/eV per cell
Distance to the lowest polymorph of the same formula = 93.3 meV per atom
Total magnetic moment = 0.0 μB per formula unit